## BeHgTe2 (PBE)

Data for a relaxed structure of BeHgTe2.

Output
- Excess energy over the best structure of this formula in the dataset: 0.336 eV per atom
- E_form (uncorrected): 0.10 eV/atom
- SG: P2/m (10)

a = 3.852 Å, b = 5.620 Å, c = 6.518 Å
α = 54.07°, β = 90.00°, γ = 90.00°
Fractional positions:
Be  0.500  0.250  0.250
Te  0.000  0.064  0.122
Te  0.000  0.436  0.378
Hg  0.500  0.750  0.750